Hf3ReHg: relaxed, GGA-PBE.

```
data_Hf3ReHg
_chemical_formula_sum 'Hf3 Re1 Hg1'
_space_group_name_H-M_alt 'P 1'
_space_group_IT_number 1
_cell_length_a 5.061
_cell_length_b 5.061
_cell_length_c 5.061
_cell_angle_alpha 90.00
_cell_angle_beta 90.00
_cell_angle_gamma 90.00
loop_
_space_group_symop_operation_xyz
'x,y,z'
loop_
_atom_site_label
_atom_site_fract_x
_atom_site_fract_y
_atom_site_fract_z
Re1 0.500 0.500 0.500
Hf1 0.000 0.500 0.000
Hf2 0.000 0.000 0.500
Hf3 0.500 0.000 0.000
Hg1 0.000 0.000 0.000
```

Excess energy over the best structure of this formula in the dataset in meV/atom: 1197
SG: Pm-3m (221)
M_tot in μB per atom: 0.02
Formation energy in eV/atom: 1.79